Entry 1:
! YHgTe2 (SCAN, single point on PBEsol structure); values from VASP
&SYSTEM
  ibrav = 0, nat = 4, ntyp = 3
/
ATOMIC_SPECIES
Y 88.91 Y.upf
Hg 200.59 Hg.upf
Te 127.60 Te.upf
ATOMIC_POSITIONS angstrom
Y 0.000 0.000 0.000
Hg 2.561 2.561 0.000
Te 0.000 2.561 1.964
Te 2.561 0.000 1.964
CELL_PARAMETERS angstrom
5.121 0.000 0.000
0.000 5.121 0.000
0.000 0.000 3.928
! **ΔE_f (raw)**: -0.690 eV per atom
! **Total DFT energy (no corrections)**: -43.3178 eV per atom
! **Total magnetization**: 0.000 μB/f.u.
! **E above lowest polymorph**: 324 meV/atom
! **Calculated volume**: 25.8 Å³/atom

=====

Entry 2:
! YHg3Te (SCAN, single point on PBEsol structure); values from VASP
&SYSTEM
  ibrav = 0, nat = 5, ntyp = 3
/
ATOMIC_SPECIES
Y 88.91 Y.upf
Hg 200.59 Hg.upf
Te 127.60 Te.upf
ATOMIC_POSITIONS angstrom
Y 0.000 0.000 0.000
Hg 0.000 0.000 2.817
Hg 0.000 2.817 0.000
Hg 2.817 0.000 0.000
Te 2.817 2.817 2.817
CELL_PARAMETERS angstrom
5.633 0.000 0.000
0.000 5.633 0.000
0.000 0.000 5.633
! **ΔE_f (raw)**: 0.285 eV per atom
! **Total DFT energy (no corrections)**: -53.6334 eV per atom
! **Total magnetization**: 0.000 μB/f.u.
! **Calculated volume**: 35.8 Å³/atom

=====

Entry 3:
! Y2HgTe (SCAN, single point on PBEsol structure); values from VASP
&SYSTEM
  ibrav = 0, nat = 4, ntyp = 3
/
ATOMIC_SPECIES
Y 88.91 Y.upf
Hg 200.59 Hg.upf
Te 127.60 Te.upf
ATOMIC_POSITIONS angstrom
Y 0.000 0.000 2.048
Y 0.000 0.000 6.229
Hg 0.000 2.680 0.000
Te 2.290 0.000 0.000
CELL_PARAMETERS angstrom
-2.290 2.680 4.139
2.290 -2.680 4.139
2.290 2.680 -4.139
! **ΔE_f (raw)**: -0.849 eV per atom
! **Total DFT energy (no corrections)**: -41.1249 eV per atom
! **Total magnetization**: 0.000 μB/f.u.
! **E above lowest polymorph**: 261 meV/atom
! **Calculated volume**: 25.4 Å³/atom

=====

Entry 4:
! Y2HgTe (SCAN, single point on PBEsol structure); values from VASP
&SYSTEM
  ibrav = 0, nat = 4, ntyp = 3
/
ATOMIC_SPECIES
Y 88.91 Y.upf
Hg 200.59 Hg.upf
Te 127.60 Te.upf
ATOMIC_POSITIONS angstrom
Y 0.000 0.000 0.000
Y 2.134 2.134 3.044
Hg 0.000 0.000 3.044
Te 2.134 2.134 0.000
CELL_PARAMETERS angstrom
4.267 0.000 0.000
0.000 4.267 0.000
0.000 0.000 6.088
! **ΔE_f (raw)**: -1.069 eV per atom
! **Total DFT energy (no corrections)**: -41.3449 eV per atom
! **Total magnetization**: 0.000 μB/f.u.
! **E above lowest polymorph**: 41 meV/atom
! **Calculated volume**: 27.7 Å³/atom

=====

Entry 5:
! ZnHg4Te (SCAN, single point on PBEsol structure); values from VASP
&SYSTEM
  ibrav = 0, nat = 6, ntyp = 3
/
ATOMIC_SPECIES
Zn 65.41 Zn.upf
Hg 200.59 Hg.upf
Te 127.60 Te.upf
ATOMIC_POSITIONS angstrom
Zn 0.000 0.000 0.000
Hg 5.252 3.145 3.145
Hg 3.145 5.252 3.145
Hg 3.145 3.145 5.252
Hg 5.252 5.252 5.252
Te 2.099 2.099 2.099
CELL_PARAMETERS angstrom
0.000 4.198 4.198
4.198 0.000 4.198
4.198 4.198 0.000
! **ΔE_f (raw)**: 0.359 eV per atom
! **Total DFT energy (no corrections)**: -53.5459 eV per atom
! **Total magnetization**: 0.000 μB/f.u.
! **Calculated volume**: 24.7 Å³/atom

=====

Entry 6:
! ZnHg2Te (SCAN, single point on PBEsol structure); values from VASP
&SYSTEM
  ibrav = 0, nat = 4, ntyp = 3
/
ATOMIC_SPECIES
Zn 65.41 Zn.upf
Hg 200.59 Hg.upf
Te 127.60 Te.upf
ATOMIC_POSITIONS angstrom
Zn 0.000 0.000 0.000
Hg 3.598 3.598 3.598
Hg 5.397 5.397 5.397
Te 1.799 1.799 1.799
CELL_PARAMETERS angstrom
0.000 3.598 3.598
3.598 0.000 3.598
3.598 3.598 0.000
! **ΔE_f (raw)**: 0.173 eV per atom
! **Total DFT energy (no corrections)**: -46.6011 eV per atom
! **Total magnetization**: 0.000 μB/f.u.
! **Calculated volume**: 23.3 Å³/atom

=====

Q: Which value of total DFT energy (no corrections) does entry 3 give?
A: -41.1249 eV per atom